Os2W | PBE | relaxed

energy above the lowest structure with this stoichiometry: 999 meV/atom
total energy: -10.806 eV/atom
magnetization: 0.0 μB per formula unit
calculated formation energy: 1.00 eV per atom
space group: P4/mmm
crystal system: tetragonal

Unit cell a=4.178 b=4.178 c=3.062 alpha=90.00 beta=90.00 gamma=90.00
Fractional coordinates of all 3 atoms:
Os: 0.000 0.500 0.500
Os: 0.500 0.000 0.500
W: 0.000 0.000 0.000

ScTcSeN2 | PBE | relaxed

energy above the lowest structure with this stoichiometry: 0 meV/atom
total energy: -7.428 eV/atom
E_form (uncorrected): -0.062 eV per atom
magnetization: 0.0 μB per formula unit
space group: P4/mmm
crystal system: tetragonal

Unit cell a=3.866 b=3.866 c=5.210 alpha=90.00 beta=90.00 gamma=90.00
Fractional coordinates of all 5 atoms:
Sc: 0.500 0.500 0.500
Tc: 0.000 0.000 0.000
Se: 0.000 0.000 0.500
N: 0.000 0.500 0.000
N: 0.500 0.000 0.000

LaInAs | PBE | relaxed

total energy: -4.686 eV/atom
magnetization: 0.4 μB per formula unit
calculated formation energy: -0.58 eV per atom
space group: I4mm
crystal system: tetragonal

Unit cell a=6.160 b=6.160 c=6.160 alpha=144.45 beta=144.45 gamma=51.15
Each line ends with the local moment (μB).
Fractional coordinates of all 3 atoms:
As: 0.988 0.988 0.000  -0.01
In: 0.360 0.360 0.000  0.01
La: 0.652 0.652 0.000  0.15

Q: What is the total energy in the second record?
A: -7.428 eV/atom